Record 1
This record from the Alexandria database describes crystalline CsFeNiH2 at its relaxed geometry. The functional is PBE.

Output
raw total energy = -14.76 eV for the cell shown
total moment = 2.65 μB per cell
D(E_F) = 9.32 states/eV per cell

```
data_CsFeNiH2
_cell_length_a 3.7510
_cell_length_b 3.7510
_cell_length_c 5.5549
_cell_angle_alpha 90.00
_cell_angle_beta 90.00
_cell_angle_gamma 90.00
_symmetry_space_group_name_H-M 'P 4/m m m'
_symmetry_Int_Tables_number 123
_symmetry_space_group_name_Hall '-P 4 2'
loop_
_atom_site_label
_atom_site_type_symbol
_atom_site_fract_x
_atom_site_fract_y
_atom_site_fract_z
Cs1 Cs 0.0000 0.0000 0.0000
Fe1 Fe 0.5000 0.5000 0.0000
Ni1 Ni 0.0000 0.0000 0.5000
H1 H 0.0000 0.5000 0.5000
```

Record 2
This record from the Alexandria database describes crystalline CoB2Mo at its relaxed geometry. The functional is PBE.

Output
raw total energy = -65.32 eV for the cell shown
distance to the lowest polymorph of the same formula = 0.008 eV per atom
calculated formation energy = -0.34 eV/atom
total moment = 0.00 μB per cell
D(E_F) = 5.67 states/eV per cell

```
data_CoB2Mo
_cell_length_a 3.0035
_cell_length_b 3.0764
_cell_length_c 8.0498
_cell_angle_alpha 90.00
_cell_angle_beta 90.00
_cell_angle_gamma 90.00
_symmetry_space_group_name_H-M 'A m m 2'
_symmetry_Int_Tables_number 38
loop_
_symmetry_equiv_pos_as_xyz
'x,y,z'
'-x,-y,z'
'-x,y,z'
'x,-y,z'
'x,y+1/2,z+1/2'
'-x,-y+1/2,z+1/2'
'-x,y+1/2,z+1/2'
'x,-y+1/2,z+1/2'
loop_
_atom_site_label
_atom_site_type_symbol
_atom_site_fract_x
_atom_site_fract_y
_atom_site_fract_z
Co1 Co 0.0000 0.0000 0.0000
B1 B 0.0000 0.0000 0.6857
B2 B 0.5000 0.0000 0.5610
Mo1 Mo 0.5000 0.0000 0.2791
```

Record 3
This record from the Alexandria database describes crystalline NaMgBeI2 at its relaxed geometry. The functional is PBE.

Output
raw total energy = -7.88 eV for the cell shown
formation energy from raw total energies = 0.372 eV per atom
total moment = 0.93 μB per cell
D(E_F) = 0.61 states/eV per cell

```
data_NaMgBeI2
_cell_length_a 5.9510
_cell_length_b 5.9510
_cell_length_c 5.2925
_cell_angle_alpha 90.00
_cell_angle_beta 90.00
_cell_angle_gamma 90.00
_symmetry_space_group_name_H-M 'P 4/m m m'
_symmetry_Int_Tables_number 123
_symmetry_space_group_name_Hall '-P 4 2'
loop_
_atom_site_label
_atom_site_type_symbol
_atom_site_fract_x
_atom_site_fract_y
_atom_site_fract_z
Na1 Na 0.0000 0.0000 0.0000
Mg1 Mg 0.5000 0.5000 0.5000
Be1 Be 0.0000 0.0000 0.5000
I1 I 0.0000 0.5000 0.0000
```

Record 4
This record from the Alexandria database describes crystalline KSmAgS2 at its relaxed geometry. The functional is PBE.

Output
raw total energy = -44.66 eV for the cell shown
formation energy from raw total energies = -1.082 eV per atom
total moment = 0.00 μB per cell
D(E_F) = 2.90 states/eV per cell

```
data_KSmAgS2
_cell_length_a 7.3983
_cell_length_b 5.0676
_cell_length_c 7.9259
_cell_angle_alpha 90.00
_cell_angle_beta 99.77
_cell_angle_gamma 90.00
_symmetry_space_group_name_H-M 'P 1 2/c 1'
_symmetry_Int_Tables_number 13
loop_
_symmetry_equiv_pos_as_xyz
'x,y,z'
'-x,-y,-z'
'-x,y,-z+1/2'
'x,-y,z+1/2'
loop_
_atom_site_label
_atom_site_type_symbol
_atom_site_fract_x
_atom_site_fract_y
_atom_site_fract_z
K1 K 0.0000 0.1406 0.2500
Sm1 Sm 0.5000 0.4924 0.7500
Ag1 Ag 0.5000 0.0000 0.0000
S1 S 0.2558 0.3603 0.9632
```

Record 5
This record from the Alexandria database describes crystalline Y2TmAg3Te6 at its relaxed geometry. The functional is PBE.

Output
raw total energy = -109.84 eV for the cell shown
formation energy from raw total energies = -0.843 eV per atom
total moment = 0.00 μB per cell

```
data_Y2TmAg3Te6
_cell_length_a 19.8303
_cell_length_b 4.3649
_cell_length_c 8.4565
_cell_angle_alpha 90.00
_cell_angle_beta 103.46
_cell_angle_gamma 90.00
_symmetry_space_group_name_H-M 'C 1 2/m 1'
_symmetry_Int_Tables_number 12
loop_
_symmetry_equiv_pos_as_xyz
'x,y,z'
'-x,-y,-z'
'-x,y,-z'
'x,-y,z'
'x+1/2,y+1/2,z'
'-x+1/2,-y+1/2,-z'
'-x+1/2,y+1/2,-z'
'x+1/2,-y+1/2,z'
loop_
_atom_site_label
_atom_site_type_symbol
_atom_site_fract_x
_atom_site_fract_y
_atom_site_fract_z
Y1 Y 0.1733 0.0000 0.3069
Tm1 Tm 0.0000 0.5000 0.0000
Ag1 Ag 0.0000 0.5000 0.5000
Ag2 Ag 0.2038 0.0000 0.7862
Te1 Te 0.0133 0.0000 0.2586
Te2 Te 0.1577 0.5000 0.0379
Te3 Te 0.1639 0.5000 0.5672
```

Record 6
This record from the Alexandria database describes crystalline HoTm2In4 at its relaxed geometry. The functional is PBE.

Output
raw total energy = -53.27 eV for the cell shown
distance to the lowest polymorph of the same formula = 0.000 eV per atom
calculated formation energy = -0.31 eV/atom
total moment = 0.00 μB per cell
D(E_F) = 10.31 states/eV per cell

```
data_HoTm2In4
_cell_length_a 7.3821
_cell_length_b 7.3821
_cell_length_c 7.2838
_cell_angle_alpha 90.00
_cell_angle_beta 90.00
_cell_angle_gamma 90.00
_symmetry_space_group_name_H-M 'I 4/m m m'
_symmetry_Int_Tables_number 139
_symmetry_space_group_name_Hall '-I 4 2'
loop_
_atom_site_label
_atom_site_type_symbol
_atom_site_fract_x
_atom_site_fract_y
_atom_site_fract_z
Ho1 Ho 0.0000 0.0000 0.0000
Tm1 Tm 0.0000 0.5000 0.0000
In1 In 0.2500 0.2500 0.2500
```

Record 7
This record from the Alexandria database describes crystalline TbZnCd3 at its relaxed geometry. The functional is PBE.

Output
raw total energy = -19.48 eV for the cell shown
distance to the lowest polymorph of the same formula = 0.000 eV per atom
calculated formation energy = -0.22 eV/atom
total moment = 0.00 μB per cell
D(E_F) = 3.41 states/eV per cell

```
data_TbZnCd3
_cell_length_a 6.3996
_cell_length_b 4.7691
_cell_length_c 7.7181
_cell_angle_alpha 90.00
_cell_angle_beta 109.42
_cell_angle_gamma 90.00
_symmetry_space_group_name_H-M 'P 1 21/m 1'
_symmetry_Int_Tables_number 11
loop_
_symmetry_equiv_pos_as_xyz
'x,y,z'
'-x,-y,-z'
'-x,y+1/2,-z'
'x,-y+1/2,z'
loop_
_atom_site_label
_atom_site_type_symbol
_atom_site_fract_x
_atom_site_fract_y
_atom_site_fract_z
Tb1 Tb 0.2073 0.2500 0.2321
Zn1 Zn 0.4915 0.2500 0.6259
Cd1 Cd 0.1459 0.2500 0.7933
Cd2 Cd 0.2033 0.7500 0.5661
Cd3 Cd 0.3417 0.7500 0.9967
```

Record 8
This record from the Alexandria database describes crystalline BaAg3 at its relaxed geometry. The functional is PBE.

Output
raw total energy = -44.90 eV for the cell shown
distance to the lowest polymorph of the same formula = 0.002 eV per atom
calculated formation energy = -0.19 eV/atom
total moment = 0.00 μB per cell
D(E_F) = 6.42 states/eV per cell

```
data_BaAg3
_cell_length_a 8.5071
_cell_length_b 7.8530
_cell_length_c 6.3152
_cell_angle_alpha 90.00
_cell_angle_beta 90.00
_cell_angle_gamma 90.00
_symmetry_space_group_name_H-M 'P n m a'
_symmetry_Int_Tables_number 62
loop_
_symmetry_equiv_pos_as_xyz
'x,y,z'
'-x,-y,-z'
'-x+1/2,-y,z+1/2'
'x+1/2,y,-z+1/2'
'x+1/2,-y+1/2,-z+1/2'
'-x+1/2,y+1/2,z+1/2'
'-x,y+1/2,-z'
'x,-y+1/2,z'
loop_
_atom_site_label
_atom_site_type_symbol
_atom_site_fract_x
_atom_site_fract_y
_atom_site_fract_z
Ba1 Ba 0.0296 0.2500 0.1226
Ag1 Ag 0.1318 0.7500 0.3556
Ag2 Ag 0.1613 0.0627 0.5834
```